Record 1
# Sr2CaTl, optimized geometry, DFT GGA-PBE
# * distance to the lowest polymorph of the same formula: 0.028 eV/atom
# * DFT formation energy: -0.82 eV/f.u.
# * DFT total energy: -17.100 eV per cell
data_Sr2CaTl
_space_group_name_H-M_alt 'I m m 2'
_space_group_IT_number 44
_cell_length_a 4.166
_cell_length_b 6.144
_cell_length_c 12.817
_cell_angle_alpha 90.00
_cell_angle_beta 90.00
_cell_angle_gamma 90.00
loop_
_space_group_symop_operation_xyz
'x,y,z'
'-x,-y,z'
'-x,y,z'
'x,-y,z'
'x+1/2,y+1/2,z+1/2'
'-x+1/2,-y+1/2,z+1/2'
'-x+1/2,y+1/2,z+1/2'
'x+1/2,-y+1/2,z+1/2'
loop_
_atom_site_label
_atom_site_type_symbol
_atom_site_fract_x
_atom_site_fract_y
_atom_site_fract_z
Sr1 Sr 0.000 0.000 0.000
Sr2 Sr 0.000 0.500 0.204
Ca1 Ca 0.000 0.500 0.796
Tl1 Tl 0.000 0.000 0.491

Record 2
# PmSnHg2, optimized geometry, DFT GGA-PBE
# * DFT formation energy: -1.33 eV/f.u.
# * DFT total energy: -10.684 eV per cell
data_PmSnHg2
_space_group_name_H-M_alt 'P m m m'
_space_group_IT_number 47
_cell_length_a 3.268
_cell_length_b 5.141
_cell_length_c 6.228
_cell_angle_alpha 90.00
_cell_angle_beta 90.00
_cell_angle_gamma 90.00
loop_
_space_group_symop_operation_xyz
'x,y,z'
'-x,-y,-z'
'-x,-y,z'
'x,y,-z'
'x,-y,-z'
'-x,y,z'
'-x,y,-z'
'x,-y,z'
loop_
_atom_site_label
_atom_site_type_symbol
_atom_site_fract_x
_atom_site_fract_y
_atom_site_fract_z
Pm1 Pm 0.000 0.000 0.000
Sn1 Sn 0.500 0.000 0.500
Hg1 Hg 0.500 0.500 0.240

Record 3
# Hf2TaTc4, optimized geometry, DFT GGA-PBE
# * DFT formation energy: 1.25 eV/f.u.
# * DFT total energy: -143.943 eV per cell
data_Hf2TaTc4
_space_group_name_H-M_alt 'I 4/m m m'
_space_group_IT_number 139
_space_group_name_Hall '-I 4 2'
_cell_length_a 6.293
_cell_length_b 6.293
_cell_length_c 6.423
_cell_angle_alpha 90.00
_cell_angle_beta 90.00
_cell_angle_gamma 90.00
loop_
_atom_site_label
_atom_site_type_symbol
_atom_site_fract_x
_atom_site_fract_y
_atom_site_fract_z
Hf1 Hf 0.000 0.500 0.000
Ta1 Ta 0.000 0.000 0.000
Tc1 Tc 0.250 0.250 0.250

Record 4
# Hf2BePb, optimized geometry, DFT GGA-PBE
# * distance to the lowest polymorph of the same formula: 0.273 eV/atom
# * DFT formation energy: 1.51 eV/f.u.
# * DFT total energy: -103.320 eV per cell
data_Hf2BePb
_space_group_name_H-M_alt 'I -4 2 d'
_space_group_IT_number 122
_space_group_name_Hall 'I -4 2bw'
_cell_length_a 7.507
_cell_length_b 7.507
_cell_length_c 5.866
_cell_angle_alpha 90.00
_cell_angle_beta 90.00
_cell_angle_gamma 90.00
loop_
_atom_site_label
_atom_site_type_symbol
_atom_site_fract_x
_atom_site_fract_y
_atom_site_fract_z
Hf1 Hf 0.215 0.250 0.125
Be1 Be 0.000 0.000 0.000
Pb1 Pb 0.000 0.000 0.500

Record 5
# LaCrAu3, optimized geometry, DFT GGA-PBE
# * distance to the lowest polymorph of the same formula: 0.000 eV/atom
# * DFT formation energy: 0.56 eV/f.u.
# * DFT total energy: -23.826 eV per cell
data_LaCrAu3
_space_group_name_H-M_alt 'P m -3 m'
_space_group_IT_number 221
_space_group_name_Hall '-P 4 2 3'
_cell_length_a 4.900
_cell_length_b 4.900
_cell_length_c 4.900
_cell_angle_alpha 90.00
_cell_angle_beta 90.00
_cell_angle_gamma 90.00
loop_
_atom_site_label
_atom_site_type_symbol
_atom_site_fract_x
_atom_site_fract_y
_atom_site_fract_z
La1 La 0.000 0.000 0.000
Cr1 Cr 0.500 0.500 0.500
Au1 Au 0.000 0.500 0.500

Record 6
# RbAlGa, optimized geometry, DFT GGA-PBE
# * distance to the lowest polymorph of the same formula: 0.117 eV/atom
# * DFT formation energy: 0.27 eV/f.u.
# * DFT total energy: -7.468 eV per cell
data_RbAlGa
_space_group_name_H-M_alt 'P -6 m 2'
_space_group_IT_number 187
_space_group_name_Hall 'P -6 2'
_cell_length_a 4.4532
_cell_length_b 4.4532
_cell_length_c 5.9212
_cell_angle_alpha 90.00
_cell_angle_beta 90.00
_cell_angle_gamma 120.00
loop_
_atom_site_label
_atom_site_type_symbol
_atom_site_fract_x
_atom_site_fract_y
_atom_site_fract_z
Rb1 Rb 0.0000 0.0000 0.0000
Al1 Al 0.3333 0.6667 0.5000
Ga1 Ga 0.6667 0.3333 0.5000

Record 7
# PuInGa, optimized geometry, DFT GGA-PBE
# * distance to the lowest polymorph of the same formula: 0.000 eV/atom
# * DFT formation energy: -0.73 eV/f.u.
# * DFT total energy: -41.655 eV per cell
data_PuInGa
_space_group_name_H-M_alt 'P 63/m m c'
_space_group_IT_number 194
_space_group_name_Hall '-P 6c 2c'
_cell_length_a 4.8590
_cell_length_b 4.8590
_cell_length_c 6.8241
_cell_angle_alpha 90.00
_cell_angle_beta 90.00
_cell_angle_gamma 120.00
loop_
_atom_site_label
_atom_site_type_symbol
_atom_site_fract_x
_atom_site_fract_y
_atom_site_fract_z
Pu1 Pu 0.0000 0.0000 0.0000
In1 In 0.3333 0.6667 0.2500
Ga1 Ga 0.3333 0.6667 0.7500

Record 8
# Ce2ThPb, optimized geometry, DFT GGA-PBE
# * distance to the lowest polymorph of the same formula: 0.177 eV/atom
# * DFT formation energy: -0.18 eV/f.u.
# * DFT total energy: -69.529 eV per cell
data_Ce2ThPb
_space_group_name_H-M_alt 'R 3 m'
_space_group_IT_number 160
_space_group_name_Hall 'R 3 -2"'
_cell_length_a 3.4983
_cell_length_b 3.4983
_cell_length_c 33.9729
_cell_angle_alpha 90.00
_cell_angle_beta 90.00
_cell_angle_gamma 120.00
loop_
_atom_site_label
_atom_site_type_symbol
_atom_site_fract_x
_atom_site_fract_y
_atom_site_fract_z
Ce1 Ce 0.0000 0.0000 0.0000
Ce2 Ce 0.0000 0.0000 0.1694
Th1 Th 0.0000 0.0000 0.7515
Pb1 Pb 0.0000 0.0000 0.5850

Record 9
# Mg3Cu8Sn, optimized geometry, DFT GGA-PBE
# * distance to the lowest polymorph of the same formula: 0.000 eV/atom
# * DFT formation energy: -1.60 eV/f.u.
# * DFT total energy: -129.481 eV per cell
data_Mg3Cu8Sn
_space_group_name_H-M_alt 'R 3 m'
_space_group_IT_number 160
_space_group_name_Hall 'R 3 -2"'
_cell_length_a 4.9929
_cell_length_b 4.9929
_cell_length_c 24.4789
_cell_angle_alpha 90.00
_cell_angle_beta 90.00
_cell_angle_gamma 120.00
loop_
_atom_site_label
_atom_site_type_symbol
_atom_site_fract_x
_atom_site_fract_y
_atom_site_fract_z
Mg1 Mg 0.0000 0.0000 0.0000
Mg2 Mg 0.0000 0.0000 0.1240
Mg3 Mg 0.0000 0.0000 0.4973
Cu1 Cu 0.0000 0.0000 0.3112
Cu2 Cu 0.0000 0.0000 0.8107
Cu3 Cu 0.9996 0.4998 0.5597
Cu4 Cu 0.0013 0.5006 0.0619
Sn1 Sn 0.0000 0.0000 0.6234

Record 10
# Ho6AsP3Se2, optimized geometry, DFT GGA-PBE
# * raw formation energy: -1.7205 eV per atom
# * DFT total energy: -151.921 eV per cell
data_Ho6AsP3Se2
_space_group_name_H-M_alt 'C 1 2/m 1'
_space_group_IT_number 12
_cell_length_a 17.610
_cell_length_b 4.020
_cell_length_c 8.084
_cell_angle_alpha 90.00
_cell_angle_beta 103.76
_cell_angle_gamma 90.00
loop_
_space_group_symop_operation_xyz
'x,y,z'
'-x,-y,-z'
'-x,y,-z'
'x,-y,z'
'x+1/2,y+1/2,z'
'-x+1/2,-y+1/2,-z'
'-x+1/2,y+1/2,-z'
'x+1/2,-y+1/2,z'
loop_
_atom_site_label
_atom_site_type_symbol
_atom_site_fract_x
_atom_site_fract_y
_atom_site_fract_z
Ho1 Ho 0.004 0.000 0.248
Ho2 Ho 0.161 0.500 0.095
Ho3 Ho 0.168 0.500 0.572
As1 As 0.000 0.500 0.500
P1 P 0.000 0.500 0.000
P2 P 0.168 0.000 0.333
Se1 Se 0.168 0.000 0.836

Record 11
# K5Na4Tl2, optimized geometry, DFT GGA-PBE
# * distance to the lowest polymorph of the same formula: 0.016 eV/atom
# * DFT formation energy: 0.31 eV/f.u.
# * DFT total energy: -30.374 eV per cell
data_K5Na4Tl2
_space_group_name_H-M_alt 'I m m m'
_space_group_IT_number 71
_space_group_name_Hall '-I 2 2'
_cell_length_a 6.372
_cell_length_b 11.240
_cell_length_c 14.771
_cell_angle_alpha 90.00
_cell_angle_beta 90.00
_cell_angle_gamma 90.00
loop_
_atom_site_label
_atom_site_type_symbol
_atom_site_fract_x
_atom_site_fract_y
_atom_site_fract_z
K1 K 0.000 0.000 0.000
K2 K 0.000 0.170 0.241
Na1 Na 0.000 0.291 0.500
Na2 Na 0.000 0.500 0.116
Tl1 Tl 0.000 0.500 0.337

Record 12
# AcLaNd2, optimized geometry, DFT GGA-PBE
# * distance to the lowest polymorph of the same formula: 0.013 eV/atom
# * DFT formation energy: 0.12 eV/f.u.
# * DFT total energy: -55.356 eV per cell
data_AcLaNd2
_space_group_name_H-M_alt 'R 3 m'
_space_group_IT_number 160
_space_group_name_Hall 'R 3 -2"'
_cell_length_a 3.8076
_cell_length_b 3.8076
_cell_length_c 36.5489
_cell_angle_alpha 90.00
_cell_angle_beta 90.00
_cell_angle_gamma 120.00
loop_
_atom_site_label
_atom_site_type_symbol
_atom_site_fract_x
_atom_site_fract_y
_atom_site_fract_z
Ac1 Ac 0.0000 0.0000 0.0000
La1 La 0.0000 0.0000 0.8338
Nd1 Nd 0.0000 0.0000 0.4173
Nd2 Nd 0.0000 0.0000 0.5822

Look up the DFT total energy of the second one. -10.684 eV per cell